(one)
This record from Alexandria via LeMat-Bulk describes LiReOF2 after structural relaxation. The functional is PBE.

Values from the calculation:
- Fermi-level density of states: 0.322 states/eV/atom
- Theoretical density: 8.4 g/cm³
- Space group: P4/mmm

Cell: 3.417 3.417 4.210 Å, 90.00 90.00 90.00°
Site moments in Bohr magnetons follow the coordinates.
Fractional positions:
Re: 0.500 0.500 0.500  3.34
Li: 0.000 0.000 0.000  0.00
O: 0.000 0.000 0.500  0.03
F: 0.000 0.500 0.000  0.08
F: 0.500 0.000 0.000  0.08

***

(two)
This record from Alexandria via LeMat-Bulk describes LiReOF2 after structural relaxation. The functional is PBE.

Values from the calculation:
- Fermi-level density of states: 0.397 states/eV/atom
- Theoretical density: 5.9 g/cm³
- Space group: P4/mmm

Cell: 4.256 4.256 3.808 Å, 90.00 90.00 90.00°
Fractional positions:
Re: 0.000 0.000 0.000
Li: 0.500 0.500 0.500
O: 0.000 0.000 0.500
F: 0.000 0.500 0.000
F: 0.500 0.000 0.000

***

Pick the least stable structure from those above. Pick: (one)